Below is Ba7Hg31 after structural relaxation, with properties calculated at the PBEsol level.

The structure in POSCAR format:
```
Ba7Hg31
1.0
10.254 0.000 0.000
0.000 10.648 0.000
0.000 -5.324 9.222
Hg Ba
31 7
Direct
0.263 0.480 0.520
0.647 0.333 0.667
0.500 0.569 0.431
0.698 0.845 0.155
0.353 0.333 0.667
0.263 0.039 0.520
0.737 0.039 0.520
0.650 0.000 0.000
0.302 0.845 0.689
0.000 0.392 0.061
0.000 0.669 0.061
0.000 0.939 0.331
0.737 0.480 0.961
0.263 0.480 0.961
0.170 0.162 0.324
0.830 0.676 0.838
0.737 0.480 0.520
0.302 0.845 0.155
0.170 0.676 0.838
0.830 0.162 0.324
0.170 0.162 0.838
0.000 0.392 0.331
0.500 0.863 0.431
0.302 0.311 0.155
0.000 0.669 0.608
0.698 0.311 0.155
0.350 0.000 0.000
0.830 0.162 0.838
0.500 0.569 0.137
0.698 0.845 0.689
0.000 0.939 0.608
0.500 0.167 0.335
0.000 0.000 0.000
0.500 0.167 0.833
0.000 0.333 0.667
0.794 0.667 0.333
0.206 0.667 0.333
0.500 0.665 0.833
```

Computed properties:
Energy (eV/atom): -1.250
Formation energy (eV per atom): -0.39
Space group: P-6m2



Below is BaHg5 after structural relaxation, with properties calculated at the PBEsol level.

The structure in POSCAR format:
```
BaHg5
1.0
6.092 0.000 0.000
3.046 5.276 0.000
3.046 1.759 4.974
Hg Ba
5 1
Direct
0.250 0.250 0.250
0.127 0.624 0.624
0.624 0.624 0.624
0.624 0.127 0.624
0.624 0.624 0.127
0.000 0.000 0.000
```

Computed properties:
Energy (eV/atom): -1.148
Formation energy (eV per atom): -0.32
Space group: F-43m



Below is Ba3Hg2 after structural relaxation, with properties calculated at the PBEsol level.

The structure in POSCAR format:
```
Ba3Hg2
1.0
-4.834 -3.073 0.876
4.759 -1.138 3.104
-2.061 4.625 4.856
Ba Hg
3 2
Direct
0.000 0.000 0.000
0.667 0.333 0.673
0.333 0.667 0.327
0.333 0.667 0.833
0.667 0.333 0.167
```

Computed properties:
Energy (eV/atom): -1.920
Formation energy (eV per atom): -0.40
Space group: P-3m1



Below is BaHg3 after structural relaxation, with properties calculated at the PBEsol level.

The structure in POSCAR format:
```
BaHg3
1.0
4.011 0.000 0.000
0.000 4.011 0.000
0.000 0.000 7.077
Hg Ba
3 1
Direct
0.500 0.500 0.287
0.500 0.500 0.713
0.000 0.000 0.500
0.000 0.000 0.000
```

Computed properties:
Energy (eV/atom): -1.329
Formation energy (eV per atom): -0.37
Space group: P4/mmm



Below is Ba3Hg4 after structural relaxation, with properties calculated at the PBEsol level.

The structure in POSCAR format:
```
Ba3Hg4
1.0
-4.118 0.785 -0.446
0.361 -0.478 -4.173
-0.808 -13.504 3.608
Hg Ba
4 3
Direct
0.874 0.874 0.749
0.126 0.126 0.251
0.565 0.565 0.130
0.435 0.435 0.870
0.685 0.685 0.371
0.315 0.315 0.629
0.000 0.000 0.000
```

Computed properties:
Energy (eV/atom): -1.696
Formation energy (eV per atom): -0.45
Space group: I4/mmm



Below is BaHg3 after structural relaxation, with properties calculated at the PBEsol level.

The structure in POSCAR format:
```
BaHg3
1.0
-4.523 1.230 1.052
-1.815 -4.294 -2.784
3.352 -0.889 4.481
Ba Hg
1 3
Direct
0.000 0.000 0.000
0.500 0.500 0.000
0.769 0.269 0.538
0.231 0.731 0.462
```

Computed properties:
Energy (eV/atom): -1.389
Formation energy (eV per atom): -0.43
Space group: Immm



Number 4 is which compound?
BaHg3



What is the formation energy in the first record?
-0.39 eV per atom